# 1
A plane-wave DFT calculation with PBE was carried out for an optimized crystal structure of PmNbB.

The calculation puts the energy above the lowest structure with this stoichiometry at 0 meV/atom.

Lattice parameters (Å, degrees): 6.0825 6.0825 6.0825 90.00 90.00 90.00
Space group F-43m (No. 216)
Symmetry-distinct sites (fractional):
Pm  0.0000  0.0000  0.0000 x4
Nb  0.0000  0.0000  0.5000 x4
B  0.2500  0.2500  0.7500 x4

=====

# 2
A plane-wave DFT calculation with PBE was carried out for an optimized crystal structure of MgScTcMo.

The calculation puts the energy above the lowest structure with this stoichiometry at 3 meV/atom.

Lattice parameters (Å, degrees): 6.4666 6.4666 6.4666 90.00 90.00 90.00
Space group F-43m (No. 216)
Symmetry-distinct sites (fractional):
Mg  0.0000  0.0000  0.0000 x4
Sc  0.2500  0.2500  0.7500 x4
Tc  0.0000  0.0000  0.5000 x4
Mo  0.2500  0.2500  0.2500 x4

=====

# 3
A plane-wave DFT calculation with PBE was carried out for an optimized crystal structure of Cs2LiHoI6.

For the calculated total energy, the calculation gives -3.181 eV/atom.

Lattice parameters (Å, degrees): 8.5054 8.5054 12.0432 90.00 90.00 90.00
Space group I4/mmm (No. 139)
Symmetry-distinct sites (fractional):
Cs  0.0000  0.5000  0.2500 x4
Li  0.0000  0.0000  0.0000 x2
Ho  0.0000  0.0000  0.5000 x2
I  0.0000  0.0000  0.2499 x4
I  0.2496  0.2496  0.0000 x8

=====

The following ρ values (in g/cm3) correspond, in order, to the records above: 7.3 6.5 4.6.